# 1
DFT (SCAN) results for LiV3O5F3 at its PBEsol-relaxed geometry.

## Properties
The calculation puts the total energy at -10.810 eV per atom. The calculation puts the energy above the most stable polymorph in this dataset at 6.0 kJ per mole of atoms.

```
data_LiV3O5F3
_chemical_formula_sum 'Li2 V6 O10 F6'
_cell_length_a 6.551
_cell_length_b 3.702
_cell_length_c 12.003
_cell_angle_alpha 90.00
_cell_angle_beta 104.46
_cell_angle_gamma 90.00
_symmetry_space_group_name_H-M 'P 1 m 1'
_symmetry_Int_Tables_number 6
loop_
_symmetry_equiv_pos_as_xyz
'x,y,z'
'x,-y,z'
loop_
_atom_site_label
_atom_site_type_symbol
_atom_site_fract_x
_atom_site_fract_y
_atom_site_fract_z
_atom_site_occupancy
Li1 Li 0.000 0.000 0.000 1
Li2 Li 0.331 0.500 0.387 1
V1 V 0.034 0.500 0.766 1
V2 V 0.251 0.000 0.616 1
V3 V 0.443 0.000 0.904 1
V4 V 0.478 0.000 0.176 1
V5 V 0.842 0.500 0.238 1
V6 V 0.899 0.500 0.520 1
O1 O 0.122 0.000 0.788 1
O2 O 0.193 0.500 0.643 1
O3 O 0.331 0.000 0.035 1
O4 O 0.361 0.000 0.511 1
O5 O 0.541 0.500 0.202 1
O6 O 0.690 0.000 0.967 1
O7 O 0.775 0.000 0.211 1
O8 O 0.806 0.500 0.669 1
O9 O 0.959 0.000 0.538 1
O10 O 0.989 0.500 0.376 1
F1 F 0.005 0.500 0.134 1
F2 F 0.318 0.000 0.282 1
F3 F 0.382 0.500 0.879 1
F4 F 0.492 0.000 0.748 1
F5 F 0.625 0.500 0.436 1
F6 F 0.981 0.500 0.911 1
```

***

# 2
DFT (SCAN) results for Li2VOF3 at its PBEsol-relaxed geometry.

## Properties
The calculation puts the total energy at -8.570 eV per atom. The calculation puts the energy above the most stable polymorph in this dataset at 2.7 kJ per mole of atoms.

```
data_Li2VOF3
_chemical_formula_sum 'Li8 V4 O4 F12'
_cell_length_a 10.193
_cell_length_b 5.710
_cell_length_c 5.861
_cell_angle_alpha 90.00
_cell_angle_beta 123.98
_cell_angle_gamma 90.00
_symmetry_space_group_name_H-M 'C 1 2/m 1'
_symmetry_Int_Tables_number 12
loop_
_symmetry_equiv_pos_as_xyz
'x,y,z'
'-x,-y,-z'
'-x,y,-z'
'x,-y,z'
'x+1/2,y+1/2,z'
'-x+1/2,-y+1/2,-z'
'-x+1/2,y+1/2,-z'
'x+1/2,-y+1/2,z'
loop_
_atom_site_label
_atom_site_type_symbol
_atom_site_fract_x
_atom_site_fract_y
_atom_site_fract_z
_atom_site_occupancy
Li1 Li 0.000 0.000 0.000 1
Li2 Li 0.000 0.000 0.500 1
Li3 Li 0.123 0.500 0.401 1
V1 V 0.250 0.250 0.000 1
O1 O 0.243 0.000 0.206 1
F1 F 0.014 0.239 0.758 1
F2 F 0.245 0.000 0.747 1
```

***

# 3
DFT (SCAN) results for Li5VO3F2 at its PBEsol-relaxed geometry.

## Properties
The calculation puts the total energy at -7.556 eV per atom. The calculation puts the energy above the most stable polymorph in this dataset at 0.0 kJ per mole of atoms.

```
data_Li5VO3F2
_chemical_formula_sum 'Li10 V2 O6 F4'
_cell_length_a 9.560
_cell_length_b 3.849
_cell_length_c 5.911
_cell_angle_alpha 90.00
_cell_angle_beta 111.56
_cell_angle_gamma 90.00
_symmetry_space_group_name_H-M 'C 1 2/m 1'
_symmetry_Int_Tables_number 12
loop_
_symmetry_equiv_pos_as_xyz
'x,y,z'
'-x,-y,-z'
'-x,y,-z'
'x,-y,z'
'x+1/2,y+1/2,z'
'-x+1/2,-y+1/2,-z'
'-x+1/2,y+1/2,-z'
'x+1/2,-y+1/2,z'
loop_
_atom_site_label
_atom_site_type_symbol
_atom_site_fract_x
_atom_site_fract_y
_atom_site_fract_z
_atom_site_occupancy
Li1 Li 0.000 0.000 0.000 1
Li2 Li 0.173 0.500 0.381 1
Li3 Li 0.206 0.500 0.810 1
V1 V 0.000 0.000 0.500 1
O1 O 0.000 0.500 0.500 1
O2 O 0.142 0.000 0.318 1
F1 F 0.170 0.000 0.841 1
```

***

# 4
DFT (SCAN) results for Li2VOF3 at its PBEsol-relaxed geometry.

## Properties
The calculation puts the total energy at -8.563 eV per atom. The calculation puts the energy above the most stable polymorph in this dataset at 3.3 kJ per mole of atoms.

```
data_Li2VOF3
_chemical_formula_sum 'Li8 V4 O4 F12'
_cell_length_a 9.520
_cell_length_b 5.767
_cell_length_c 5.096
_cell_angle_alpha 90.00
_cell_angle_beta 90.66
_cell_angle_gamma 90.00
_symmetry_space_group_name_H-M 'C 1 2 1'
_symmetry_Int_Tables_number 5
loop_
_symmetry_equiv_pos_as_xyz
'x,y,z'
'-x,y,-z'
'x+1/2,y+1/2,z'
'-x+1/2,y+1/2,-z'
loop_
_atom_site_label
_atom_site_type_symbol
_atom_site_fract_x
_atom_site_fract_y
_atom_site_fract_z
_atom_site_occupancy
Li1 Li 0.196 0.000 0.006 1
Li2 Li 0.205 0.712 0.520 1
V1 V 0.000 0.206 0.500 1
V2 V 0.000 0.462 0.000 1
O1 O 0.108 0.254 0.808 1
F1 F 0.128 0.458 0.322 1
F2 F 0.131 0.715 0.865 1
F3 F 0.138 0.988 0.362 1
```

***

# 5
DFT (SCAN) results for LiV3O5F at its PBEsol-relaxed geometry.

## Properties
The calculation puts the total energy at -11.660 eV per atom.

```
data_LiV3O5F
_chemical_formula_sum 'Li1 V3 O5 F1'
_cell_length_a 4.900
_cell_length_b 4.983
_cell_length_c 5.340
_cell_angle_alpha 62.65
_cell_angle_beta 64.39
_cell_angle_gamma 61.06
_symmetry_space_group_name_H-M 'P 1'
_symmetry_Int_Tables_number 1
loop_
_symmetry_equiv_pos_as_xyz
'x,y,z'
loop_
_atom_site_label
_atom_site_type_symbol
_atom_site_fract_x
_atom_site_fract_y
_atom_site_fract_z
_atom_site_occupancy
Li1 Li 0.000 0.000 0.000 1
V1 V 0.237 0.225 0.374 1
V2 V 0.573 0.489 0.448 1
V3 V 0.767 0.694 0.833 1
O1 O 0.150 0.451 0.625 1
O2 O 0.486 0.804 0.605 1
O3 O 0.608 0.347 0.140 1
O4 O 0.843 0.097 0.632 1
O5 O 0.950 0.590 0.145 1
F1 F 0.340 0.944 0.130 1
```

***

# 6
DFT (SCAN) results for Li3V2OF7 at its PBEsol-relaxed geometry.

## Properties
The calculation puts the total energy at -8.699 eV per atom.

```
data_Li3V2OF7
_chemical_formula_sum 'Li6 V4 O2 F14'
_cell_length_a 10.025
_cell_length_b 5.811
_cell_length_c 5.864
_cell_angle_alpha 90.00
_cell_angle_beta 123.79
_cell_angle_gamma 90.00
_symmetry_space_group_name_H-M 'C 1 m 1'
_symmetry_Int_Tables_number 8
loop_
_symmetry_equiv_pos_as_xyz
'x,y,z'
'x,-y,z'
'x+1/2,y+1/2,z'
'x+1/2,-y+1/2,z'
loop_
_atom_site_label
_atom_site_type_symbol
_atom_site_fract_x
_atom_site_fract_y
_atom_site_fract_z
_atom_site_occupancy
Li1 Li 0.000 0.000 0.000 1
Li2 Li 0.114 0.500 0.863 1
Li3 Li 0.228 0.000 0.735 1
V1 V 0.361 0.270 0.352 1
O1 O 0.366 0.500 0.140 1
F1 F 0.091 0.250 0.620 1
F2 F 0.129 0.257 0.119 1
F3 F 0.355 0.000 0.575 1
F4 F 0.358 0.500 0.599 1
F5 F 0.360 0.000 0.135 1
```

***

# 7
DFT (SCAN) results for Li3VO3F at its PBEsol-relaxed geometry.

## Properties
The calculation puts the total energy at -8.519 eV per atom. The calculation puts the energy above the most stable polymorph in this dataset at 0.0 kJ per mole of atoms.

```
data_Li3VO3F
_chemical_formula_sum 'Li6 V2 O6 F2'
_cell_length_a 4.887
_cell_length_b 5.060
_cell_length_c 5.727
_cell_angle_alpha 92.21
_cell_angle_beta 91.17
_cell_angle_gamma 109.50
_symmetry_space_group_name_H-M 'P -1'
_symmetry_Int_Tables_number 2
loop_
_symmetry_equiv_pos_as_xyz
'x,y,z'
'-x,-y,-z'
loop_
_atom_site_label
_atom_site_type_symbol
_atom_site_fract_x
_atom_site_fract_y
_atom_site_fract_z
_atom_site_occupancy
Li1 Li 0.240 0.495 0.371 1
Li2 Li 0.251 0.001 0.115 1
Li3 Li 0.258 0.500 0.870 1
V1 V 0.290 0.019 0.603 1
O1 O 0.004 0.776 0.399 1
O2 O 0.470 0.226 0.851 1
O3 O 0.495 0.755 0.624 1
F1 F 0.008 0.748 0.874 1
```

***

# 8
DFT (SCAN) results for LiV3O4F8 at its PBEsol-relaxed geometry.

## Properties
The calculation puts the total energy at -9.498 eV per atom.

```
data_LiV3O4F8
_chemical_formula_sum 'Li1 V3 O4 F8'
_cell_length_a 5.236
_cell_length_b 5.778
_cell_length_c 7.498
_cell_angle_alpha 68.21
_cell_angle_beta 69.90
_cell_angle_gamma 87.18
_symmetry_space_group_name_H-M 'P 1'
_symmetry_Int_Tables_number 1
loop_
_symmetry_equiv_pos_as_xyz
'x,y,z'
loop_
_atom_site_label
_atom_site_type_symbol
_atom_site_fract_x
_atom_site_fract_y
_atom_site_fract_z
_atom_site_occupancy
Li1 Li 0.000 0.000 0.000 1
V1 V 0.311 0.021 0.343 1
V2 V 0.629 0.876 0.713 1
V3 V 0.965 0.408 0.518 1
O1 O 0.202 0.727 0.417 1
O2 O 0.453 0.984 0.535 1
O3 O 0.747 0.632 0.660 1
O4 O 0.958 0.093 0.509 1
F1 F 0.088 0.307 0.726 1
F2 F 0.181 0.140 0.131 1
F3 F 0.303 0.392 0.321 1
F4 F 0.312 0.792 0.924 1
F5 F 0.615 0.241 0.701 1
F6 F 0.645 0.082 0.153 1
F7 F 0.799 0.844 0.895 1
F8 F 0.832 0.568 0.324 1
```

***

| no. | total magnetic moment (μB per atom) |
| --- | --- |
| 1 | 0.2500 |
| 2 | 0.2857 |
| 3 | 0.1818 |
| 4 | 0.2857 |
| 5 | 0.5000 |
| 6 | 0.3077 |
| 7 | 0.0000 |
| 8 | 0.0047 |